# KU3O8 (PBE-GGA, relaxed)
# Volume (Å³/atom): 20.537
# DFT total energy (eV per atom): -9.03
# Uncorrected formation energy (eV per atom): -2.81
data_KU3O8
_chemical_formula_sum 'K1 U3 O8'
_symmetry_space_group_name_H-M 'P -3'
_symmetry_Int_Tables_number 147
_cell_length_a 6.1343
_cell_length_b 6.1343
_cell_length_c 7.5626
_cell_angle_alpha 90.00
_cell_angle_beta 90.00
_cell_angle_gamma 120.00
loop_
_symmetry_equiv_pos_as_xyz
'x,y,z'
'-x,-y,-z'
'-y,x-y,z'
'y,-x+y,-z'
'-x+y,-x,z'
'x-y,x,-z'
loop_
_atom_site_label
_atom_site_type_symbol
_atom_site_fract_x
_atom_site_fract_y
_atom_site_fract_z
_atom_site_occupancy
K1 K 0.0000 0.0000 0.0000 1
U1 U 0.0000 0.0000 0.5000 1
U2 U 0.3333 0.6667 0.5738 1
O1 O 0.0460 0.3438 0.3848 1
O2 O 0.3333 0.6667 0.8216 1